# 1
Computed, not measured: a relaxed NiHg2Sb crystal at the PBE level of DFT.

a b c (Å): 3.1072 3.1072 8.8066
angles (deg): 90.00 90.00 90.14
Element x y z (fractional)
Ni (0.0000, 0.0000, 0.0000)
Hg (0.5000, 0.5000, 0.1913)
Hg (0.5000, 0.5000, 0.8087)
Sb (0.0000, 0.0000, 0.5000)

Properties
The uncorrected formation energy comes out at 264 meV per atom. As for the symmetry: No. 65.

***

# 2
Computed, not measured: a relaxed Y2Ge3Pd2 crystal at the PBE level of DFT.

a b c (Å): 5.5902 5.5902 6.6572
angles (deg): 110.26 110.26 45.10
Element x y z (fractional)
Y (0.1498, 0.1498, 0.2811)
Y (0.8502, 0.8502, 0.7189)
Ge (0.3912, 0.3912, 0.0541)
Ge (0.5000, 0.5000, 0.5000)
Ge (0.6088, 0.6088, 0.9459)
Pd (0.1449, 0.1449, 0.7472)
Pd (0.8551, 0.8551, 0.2528)

Properties
Its formation energy is -0.7357 eV/atom. As for the symmetry: No. 12.

***

# 3
Computed, not measured: a relaxed TcRhPb2 crystal at the PBE level of DFT.

a b c (Å): 3.2678 5.2344 4.6369
angles (deg): 90.00 90.00 90.00
Element x y z (fractional)
Tc (0.0000, 0.0000, 0.0000)
Rh (0.5000, 0.5000, 0.2160)
Pb (0.0000, 0.5000, 0.7357)
Pb (0.5000, 0.0000, 0.4857)

Properties
Its formation energy is 0.4708 eV/atom. As for the symmetry: No. 25. The calculation puts the polymorph energy (0 for the lowest one) at 0.834 eV per formula unit.

***

# 4
Computed, not measured: a relaxed Y3USb4 crystal at the PBE level of DFT.

a b c (Å): 7.6061 7.6061 4.3684
angles (deg): 90.00 90.00 109.08
Element x y z (fractional)
Y (0.0000, 0.0000, 0.0000)
Y (0.0000, 0.5000, 0.5000)
Y (0.5000, 0.0000, 0.5000)
U (0.5000, 0.5000, 0.0000)
Sb (0.2494, 0.2494, 0.5000)
Sb (0.2514, 0.7486, 0.0000)
Sb (0.7486, 0.2514, 0.0000)
Sb (0.7506, 0.7506, 0.5000)

Properties
The uncorrected formation energy comes out at -912 meV per atom. As for the symmetry: No. 65.

***

| no. | magnetic moment (μB per formula unit) |
| --- | --- |
| 1 | 0.00 |
| 2 | 0.00 |
| 3 | 0.00 |
| 4 | 2.57 |